Entry 1:
The following is a DFT calculation (PBE) of PmAsRu2N after structural relaxation.

Properties
Total DFT energy (no corrections) in hartree per atom: -0.29041

abc: 3.8330 6.0279 7.2997
angles: 90.00 90.00 108.54
Fractional positions:
1 Pm 0.4591 0.9181 0.7500
2 Pm 0.5409 0.0819 0.2500
3 As 0.7325 0.4650 0.7500
4 As 0.2675 0.5350 0.2500
5 Ru 0.1615 0.3231 0.9490
6 Ru 0.8385 0.6769 0.0510
7 Ru 0.1615 0.3231 0.5510
8 Ru 0.8385 0.6769 0.4490
9 N 0.0000 0.0000 0.0000
10 N 0.0000 0.0000 0.5000


Entry 2:
The following is a DFT calculation (PBE) of Pm4SbAs2N after structural relaxation.

Properties
Total DFT energy (no corrections) in hartree per atom: -0.23538

abc: 4.1500 7.4934 14.6534
angles: 90.00 90.00 106.08
Fractional positions:
1 Pm 0.2582 0.5164 0.1272
2 Pm 0.7418 0.4836 0.6272
3 Pm 0.7418 0.4836 0.8728
4 Pm 0.2582 0.5164 0.3728
5 Pm 0.0000 0.0000 0.5000
6 Pm 0.0000 0.0000 0.0000
7 Pm 0.4212 0.8425 0.7500
8 Pm 0.5788 0.1575 0.2500
9 Sb 0.1030 0.2060 0.7500
10 Sb 0.8970 0.7940 0.2500
11 As 0.3675 0.7350 0.5515
12 As 0.6325 0.2650 0.0515
13 As 0.6325 0.2650 0.4485
14 As 0.3675 0.7350 0.9485
15 N 0.8360 0.6720 0.7500
16 N 0.1640 0.3280 0.2500


Calculated volume readings, ordered: 159.9 437.9 Å³/cell